Below is a relaxed structure of Sr2LaPmS4, with properties calculated at the PBE level.

Cell: 7.1839 4.1503 7.3159 Å, 90.00 109.09 90.00°
With the nearest neighbours (Å) after each atom.
Atoms (fractional coordinates):
Sr: 0.0000 0.0000 0.0000  6 S 3.01
Sr: 0.5000 0.5000 0.0000  6 S 2.97
La: 0.0000 0.5000 0.5000  6 S 2.93-2.94
Pm: 0.5000 0.0000 0.5000  6 S 2.90
S: 0.2517 0.0000 0.7426  1 Pm 2.90, 2 La 2.94, 3 Sr 2.97-3.01
S: 0.2570 0.5000 0.2600  2 Pm 2.90, 1 La 2.93, 3 Sr 2.97-3.01
S: 0.7430 0.5000 0.7400  2 Pm 2.90, 1 La 2.93, 3 Sr 2.97-3.01
S: 0.7483 0.0000 0.2574  1 Pm 2.90, 2 La 2.94, 3 Sr 2.97-3.01

total magnetic moment: 0.000 μB/atom
uncorrected formation energy: -201 kJ/mol of atoms



Below is a relaxed structure of CsBiPt, with properties calculated at the PBE level.

Cell: 7.7182 7.7571 8.4395 Å, 90.00 117.59 90.00°
With the nearest neighbours (Å) after each atom.
Atoms (fractional coordinates):
Cs: 0.1864 0.1328 0.4107  2 Pt 3.35-3.74
Cs: 0.1864 0.3672 0.9107  2 Pt 3.35-3.74
Cs: 0.8136 0.6328 0.0893  2 Pt 3.35-3.74
Cs: 0.8136 0.8672 0.5893  2 Pt 3.35-3.74
Bi: 0.2983 0.6352 0.5836  3 Pt 2.70-2.71
Bi: 0.2983 0.8648 0.0836  3 Pt 2.70-2.71
Bi: 0.7017 0.1352 0.9164  3 Pt 2.70-2.71
Bi: 0.7017 0.3648 0.4164  3 Pt 2.70-2.71
Pt: 0.4304 0.6154 0.3379  3 Bi 2.70-2.71, 1 Pt 3.02
Pt: 0.4304 0.8846 0.8379  3 Bi 2.70-2.71, 1 Pt 3.02
Pt: 0.5696 0.1154 0.1621  3 Bi 2.70-2.71, 1 Pt 3.02
Pt: 0.5696 0.3846 0.6621  3 Bi 2.70-2.71, 1 Pt 3.02

total magnetic moment: 0.000 μB/atom
formation enthalpy at 0 K: -0.35 eV per atom



Below is a relaxed structure of Tl4Pd2Au3, with properties calculated at the PBE level.

Cell: 7.9520 7.9520 6.9936 Å, 110.31 110.31 30.16°
With the nearest neighbours (Å) after each atom.
Atoms (fractional coordinates):
Tl: 0.0811 0.0811 0.3573  2 Pd 2.93-3.04, 6 Au 3.02-3.27
Tl: 0.2615 0.2615 0.7953  3 Pd 2.90-2.93, 2 Au 3.23
Tl: 0.7385 0.7385 0.2047  3 Pd 2.90-2.93, 2 Au 3.23
Tl: 0.9189 0.9189 0.6427  2 Pd 2.93-3.04, 6 Au 3.02-3.27
Pd: 0.1140 0.1140 0.9691  4 Au 2.77-2.83, 5 Tl 2.90-3.04
Pd: 0.8860 0.8860 0.0309  4 Au 2.77-2.83, 5 Tl 2.90-3.04
Au: 0.4113 0.4113 0.3219  2 Pd 2.83, 2 Au 2.96-3.02, 2 Tl 3.02
Au: 0.5000 0.5000 0.0000  4 Pd 2.77, 2 Au 3.02
Au: 0.5887 0.5887 0.6781  2 Pd 2.83, 2 Au 2.96-3.02, 2 Tl 3.02

total magnetic moment: 0.000 μB/atom
formation enthalpy at 0 K: -0.04 eV per atom



Below is a relaxed structure of Mn3SiW, with properties calculated at the PBE level.

Cell: 4.5996 4.5996 4.5996 Å, 90.00 90.00 90.00°
With the nearest neighbours (Å) after each atom.
Atoms (fractional coordinates):
Mn: 0.0000 0.0000 0.5000  2 W 2.30
Mn: 0.0000 0.5000 0.0000  2 W 2.30
Mn: 0.5000 0.0000 0.0000  2 W 2.30
Si: 0.5000 0.5000 0.5000  12 Mn 3.25
W: 0.0000 0.0000 0.0000  6 Mn 2.30

total magnetic moment: 1.508 μB/atom
uncorrected formation energy: 148 kJ/mol of atoms